# AcTePd | the Alexandria database | PBE | optimized geometry
data_AcTePd
_chemical_formula_sum 'Ac1 Te1 Pd1'
_symmetry_space_group_name_H-M 'P 1'
_symmetry_Int_Tables_number 1
_symmetry_space_group_name_Hall 'P 1'
_cell_length_a 5.0009
_cell_length_b 5.0009
_cell_length_c 5.0009
_cell_angle_alpha 60.00
_cell_angle_beta 60.00
_cell_angle_gamma 60.00
loop_
_atom_site_label
_atom_site_type_symbol
_atom_site_fract_x
_atom_site_fract_y
_atom_site_fract_z
Pd1 Pd 0.2500 0.2500 0.2500
Te1 Te 0.0000 0.0000 0.0000
Ac1 Ac 0.5000 0.5000 0.5000
# raw formation energy	-1.004	eV per atom
# D(E_F)	1.9	states/eV/f.u.
# electronic total energy	-5.152	eV/atom
# SG	No. 216
# energy relative to the lowest polymorph listed for this composition	129	meV/atom